Entry from Alexandria via LeMat-Bulk: PPdNO2 after structural relaxation (PBE-GGA).

The structure belongs to space group P4/mmm (No. 123); the cell edges are 3.744, 3.744 and 5.216 Å and the angles 90.00°, 90.00° and 90.00°. The asymmetric unit holds P at (0.000, 0.000, 0.000), Pd at (0.000, 0.000, 0.500), N at (0.500, 0.500, 0.000) and O at (0.000, 0.500, 0.500).

The value obtained for the uncorrected formation energy is 6.42 eV/f.u. As for the crystal system: tetragonal. The value obtained for the total magnetization is 2.72 Bohr magnetons per cell.